Density functional theory data (GGA-PBE) for a geometry-optimized TiAl2Os2 structure.

```
TiAl2Os2
1.0
7.0565 0.0000 0.0000
0.0000 7.0565 0.0000
0.0000 0.0000 3.0461
Ti Al Os
2 4 4
Direct
0.0000 0.0000 0.0000
0.5000 0.5000 0.0000
0.1463 0.3537 0.5000
0.3537 0.8537 0.5000
0.6463 0.1463 0.5000
0.8537 0.6463 0.5000
0.1511 0.6511 0.0000
0.3489 0.1511 0.0000
0.6511 0.8489 0.0000
0.8489 0.3489 0.0000
```

Calculated values
**Polymorph energy (0 for the lowest one)**: 122 meV per atom
**D(E_F)**: 5.62 states/eV per cell